[1]
Below is crystalline NaTi2Sb2 at its relaxed geometry, with properties calculated at the PBE-GGA level.

Unit cell a=4.4191 b=4.4191 c=12.8927 alpha=90.00 beta=90.00 gamma=90.00
Fractional positions:
Na: 0.0000 0.0000 0.0000
Na: 0.5000 0.5000 0.5000
Ti: 0.0000 0.5000 0.2500
Ti: 0.0000 0.5000 0.7500
Ti: 0.5000 0.0000 0.2500
Ti: 0.5000 0.0000 0.7500
Sb: 0.0000 0.0000 0.3760
Sb: 0.0000 0.0000 0.6240
Sb: 0.5000 0.5000 0.1240
Sb: 0.5000 0.5000 0.8760

Properties
**Space group**: I4/mmm
**Fermi-level density of states**: 9.82 states/eV/cell
**Polymorph energy (0 for the lowest one)**: 0.00 kcal/mol of atoms
**Uncorrected formation energy**: -283 meV/atom

***

[2]
Below is crystalline AcAgBiPt at its relaxed geometry, with properties calculated at the PBE-GGA level.

Unit cell a=7.4087 b=7.4087 c=7.4087 alpha=90.00 beta=90.00 gamma=90.00
Fractional positions:
Ac: 0.0000 0.0000 0.0000
Ac: 0.0000 0.5000 0.5000
Ac: 0.5000 0.0000 0.5000
Ac: 0.5000 0.5000 0.0000
Ag: 0.2500 0.2500 0.7500
Ag: 0.2500 0.7500 0.2500
Ag: 0.7500 0.2500 0.2500
Ag: 0.7500 0.7500 0.7500
Bi: 0.0000 0.0000 0.5000
Bi: 0.0000 0.5000 0.0000
Bi: 0.5000 0.0000 0.0000
Bi: 0.5000 0.5000 0.5000
Pt: 0.2500 0.2500 0.2500
Pt: 0.2500 0.7500 0.7500
Pt: 0.7500 0.2500 0.7500
Pt: 0.7500 0.7500 0.2500

Properties
**Space group**: F-43m
**Fermi-level density of states**: 11.29 states/eV/cell
**ΔE_f**: -2.00 eV/f.u.

***

[3]
Below is crystalline La12Dy7Tm at its relaxed geometry, with properties calculated at the PBE-GGA level.

Unit cell a=11.5198 b=11.5198 c=11.5198 alpha=116.68 beta=116.68 gamma=116.68
Fractional positions:
La: 0.0000 0.4080 0.5920
La: 0.0000 0.5920 0.4080
La: 0.0722 0.0722 0.4261
La: 0.0722 0.4261 0.0722
La: 0.4080 0.0000 0.5920
La: 0.4080 0.5920 0.0000
La: 0.4261 0.0722 0.0722
La: 0.5739 0.9278 0.9278
La: 0.5920 0.0000 0.4080
La: 0.5920 0.4080 0.0000
La: 0.9278 0.5739 0.9278
La: 0.9278 0.9278 0.5739
Dy: 0.0000 0.0000 0.0000
Dy: 0.1392 0.3863 0.3863
Dy: 0.3863 0.1392 0.3863
Dy: 0.3863 0.3863 0.1392
Dy: 0.6137 0.6137 0.8608
Dy: 0.6137 0.8608 0.6137
Dy: 0.8608 0.6137 0.6137
Tm: 0.5000 0.5000 0.5000

Properties
**Space group**: R-3m
**Fermi-level density of states**: 27.43 states/eV/cell
**ΔE_f**: 3.70 eV/f.u.
**Polymorph energy (0 for the lowest one)**: 0.00 kcal/mol of atoms

***

[4]
Below is crystalline NdTiPd2 at its relaxed geometry, with properties calculated at the PBE-GGA level.

Unit cell a=4.4490 b=4.4490 c=14.8515 alpha=90.00 beta=90.00 gamma=120.00
Fractional positions:
Nd: 0.0000 0.0000 0.0000
Nd: 0.3333 0.6667 0.6667
Nd: 0.6667 0.3333 0.3333
Ti: 0.0000 0.0000 0.5000
Ti: 0.3333 0.6667 0.1667
Ti: 0.6667 0.3333 0.8333
Pd: 0.0000 0.0000 0.2100
Pd: 0.0000 0.0000 0.7900
Pd: 0.3333 0.6667 0.4567
Pd: 0.3333 0.6667 0.8766
Pd: 0.6667 0.3333 0.1234
Pd: 0.6667 0.3333 0.5433

Properties
**Space group**: R-3m
**Fermi-level density of states**: 12.96 states/eV/cell
**ΔE_f**: -2.34 eV/f.u.
**Polymorph energy (0 for the lowest one)**: 0.00 kcal/mol of atoms

***

[5]
Below is crystalline Al3Pb at its relaxed geometry, with properties calculated at the PBE-GGA level.

Unit cell a=4.5082 b=4.5227 c=8.2499 alpha=90.00 beta=90.00 gamma=90.00
Fractional positions:
Al: 0.0000 0.0000 0.0000
Al: 0.0000 0.5000 0.2082
Al: 0.0000 0.5000 0.7918
Al: 0.5000 0.0000 0.2082
Al: 0.5000 0.0000 0.7918
Al: 0.5000 0.5000 0.0000
Pb: 0.0000 0.0000 0.5000
Pb: 0.5000 0.5000 0.5000

Properties
**Space group**: Cmmm
**Fermi-level density of states**: 3.36 states/eV/cell
**ΔE_f**: 0.74 eV/f.u.

***

[6]
Below is crystalline Ru2BrO at its relaxed geometry, with properties calculated at the PBE-GGA level.

Unit cell a=5.9431 b=5.9431 c=5.9431 alpha=90.00 beta=90.00 gamma=90.00
Fractional positions:
Ru: 0.2500 0.2500 0.2500
Ru: 0.2500 0.2500 0.7500
Ru: 0.2500 0.7500 0.2500
Ru: 0.2500 0.7500 0.7500
Ru: 0.7500 0.2500 0.2500
Ru: 0.7500 0.2500 0.7500
Ru: 0.7500 0.7500 0.2500
Ru: 0.7500 0.7500 0.7500
Br: 0.0000 0.0000 0.0000
Br: 0.0000 0.5000 0.5000
Br: 0.5000 0.0000 0.5000
Br: 0.5000 0.5000 0.0000
O: 0.0000 0.0000 0.5000
O: 0.0000 0.5000 0.0000
O: 0.5000 0.0000 0.0000
O: 0.5000 0.5000 0.5000

Properties
**Space group**: Fm-3m
**Fermi-level density of states**: 13.25 states/eV/cell
**Polymorph energy (0 for the lowest one)**: 11.67 kcal/mol of atoms
**Uncorrected formation energy**: 823 meV/atom

***

[7]
Below is crystalline Er4Pb2C at its relaxed geometry, with properties calculated at the PBE-GGA level.

Unit cell a=6.4736 b=6.7420 c=9.2049 alpha=90.00 beta=109.47 gamma=90.00
Fractional positions:
Er: 0.1772 0.2500 0.0560
Er: 0.2449 0.0021 0.7281
Er: 0.2449 0.4979 0.7281
Er: 0.2714 0.7500 0.3460
Er: 0.7286 0.2500 0.6540
Er: 0.7551 0.5021 0.2719
Er: 0.7551 0.9979 0.2719
Er: 0.8228 0.7500 0.9440
Pb: 0.2320 0.2500 0.4173
Pb: 0.3432 0.7500 0.0316
Pb: 0.6568 0.2500 0.9684
Pb: 0.7680 0.7500 0.5827
C: 0.0796 0.2500 0.7998
C: 0.9204 0.7500 0.2002

Properties
**Space group**: P2_1/m
**Fermi-level density of states**: 3.28 states/eV/cell
**ΔE_f**: -2.65 eV/f.u.
**Polymorph energy (0 for the lowest one)**: 4.18 kcal/mol of atoms

***

[8]
Below is crystalline Y2TmIn3 at its relaxed geometry, with properties calculated at the PBE-GGA level.

Unit cell a=8.5998 b=8.5998 c=6.4959 alpha=102.66 beta=102.66 gamma=43.62
Fractional positions:
Y: 0.0571 0.2841 0.0876
Y: 0.2841 0.0571 0.5876
Y: 0.7159 0.9429 0.4124
Y: 0.9429 0.7159 0.9124
Tm: 0.3706 0.6294 0.2500
Tm: 0.6294 0.3706 0.7500
In: 0.1310 0.8690 0.7500
In: 0.2218 0.4533 0.4484
In: 0.4533 0.2218 0.9484
In: 0.5467 0.7782 0.0516
In: 0.7782 0.5467 0.5516
In: 0.8690 0.1310 0.2500

Properties
**Space group**: C2/c
**Fermi-level density of states**: 8.40 states/eV/cell
**ΔE_f**: -2.50 eV/f.u.
**Polymorph energy (0 for the lowest one)**: 1.19 kcal/mol of atoms